Below is an optimized crystal structure of VClF3, with properties calculated at the PBE+U level.

- Symmetry: No. 11
- Total moment: 1.00 μB/f.u.
- E: -5.18 eV per atom
- Offset from the most stable computed form: 0 kJ/mol of formula units

Unit cell a=6.2373 b=3.9260 c=8.1161 alpha=90.00 beta=90.00 gamma=91.48
Last column: nearest neighbours and their distance in Å.
Sites, in units of the cell vectors:
1 V 0.7289 0.2490 0.7500  3 F 1.76-1.96
2 V 0.2711 0.7510 0.2500  3 F 1.76-1.96
3 Cl 0.3796 0.2360 0.7500  1 V 2.18
4 Cl 0.6204 0.7640 0.2500  1 V 2.18
5 F 0.8351 0.2523 0.5496  1 V 1.76
6 F 0.7469 0.7494 0.7500  2 V 1.96-1.97
7 F 0.1649 0.7477 0.4504  1 V 1.76
8 F 0.8351 0.2523 0.9504  1 V 1.76
9 F 0.2531 0.2506 0.2500  2 V 1.96-1.97
10 F 0.1649 0.7477 0.0496  1 V 1.76